Entry 1:
This record from the Alexandria database describes crystalline Sr2TlPb2 at its relaxed geometry. The functional is PBE.

Unit cell a=9.272 b=9.272 c=4.297 alpha=90.00 beta=90.00 gamma=90.00
Space group P4/mbm (No. 127)
Inequivalent atoms, fractional coordinates:
Sr (0.172, 0.328, 0.000)
Tl (0.000, 0.000, 0.000)
Pb (0.124, 0.624, 0.500)

## Properties
The density of states at the Fermi level comes out at 0.572 states/eV/atom. The energy of formation from the pure elements is -278.4 meV per atom. The distance to the lowest polymorph of the same formula is 150 meV/atom. For the volume, the calculation gives 369 Å³/cell.

---

Entry 2:
This record from the Alexandria database describes crystalline SrLi2LaTl2 at its relaxed geometry. The functional is PBE.

Unit cell a=5.0724 b=5.0724 c=7.8654 alpha=90.00 beta=90.00 gamma=120.00
Space group P-3m1 (No. 164)
Inequivalent atoms, fractional coordinates:
Sr (0.0000, 0.0000, 0.0000)
Li (0.3333, 0.6667, 0.2820)
La (0.0000, 0.0000, 0.5000)
Tl (0.3333, 0.6667, 0.7098)

## Properties
The density of states at the Fermi level comes out at 1.088 states/eV/atom. The energy of formation from the pure elements is -302.9 meV per atom. For the volume, the calculation gives 175 Å³/cell.

---

Entry 3:
This record from the Alexandria database describes crystalline MgMnBe2 at its relaxed geometry. The functional is PBE.

Unit cell a=2.712 b=2.712 c=6.513 alpha=90.00 beta=90.00 gamma=90.00
Space group P4mm (No. 99)
Inequivalent atoms, fractional coordinates:
Mg (0.000, 0.000, 0.000)
Mn (0.500, 0.500, 0.321)
Be (0.000, 0.000, 0.534)
Be (0.500, 0.500, 0.702)

## Properties
The density of states at the Fermi level comes out at 0.378 states/eV/atom. The energy of formation from the pure elements is 182.4 meV per atom. For the volume, the calculation gives 48 Å³/cell.

---

Entry 4:
This record from the Alexandria database describes crystalline BaCa3Bi at its relaxed geometry. The functional is PBE.

Unit cell a=5.917 b=5.917 c=5.917 alpha=90.00 beta=90.00 gamma=90.00
Space group Pm-3m (No. 221)
Inequivalent atoms, fractional coordinates:
Ba (0.000, 0.000, 0.000)
Ca (0.000, 0.000, 0.500)
Bi (0.500, 0.500, 0.500)

## Properties
The density of states at the Fermi level comes out at 1.415 states/eV/atom. The energy of formation from the pure elements is 841.5 meV per atom. The distance to the lowest polymorph of the same formula is 1074 meV/atom. For the volume, the calculation gives 207 Å³/cell.

---

Among the records above, which one has the lowest energy of formation from the pure elements?
SrLi2LaTl2